No. 1
## ZnInPb2 (PBE-GGA)

Data for a geometry-optimized ZnInPb2 structure.

The structure in POSCAR format:
```
ZnInPb2
1.0
5.0223 0.0000 0.0000
0.0000 5.0223 0.0000
0.0000 0.0000 4.3007
Zn In Pb
1 1 2
Cartesian
0.0000 0.0000 0.0000 Zn
2.5111 2.5111 0.0000 In
0.0000 2.5111 2.1503 Pb
2.5111 0.0000 2.1503 Pb
```

Energy of formation from the pure elements ... 0.12 eV per atom
DFT total energy ... -2.740 eV per atom


No. 2
## Tl5In5Hg2 (PBE-GGA)

Data for a geometry-optimized Tl5In5Hg2 structure.

The structure in POSCAR format:
```
Tl5In5Hg2
1.0
7.9889 -2.7915 0.0000
7.9889 2.7915 0.0000
-5.5801 0.0000 7.7298
Tl In Hg
5 5 2
Cartesian
0.0000 0.0000 0.0000 Tl
-0.9980 0.0000 3.2916 Tl
-2.0246 0.0000 6.6885 Tl
12.4222 0.0000 1.0412 Tl
11.3956 0.0000 4.4382 Tl
2.4314 0.0000 2.3341 In
6.2804 0.0000 0.8616 In
5.1988 0.0000 3.8649 In
4.1172 0.0000 6.8681 In
7.9662 0.0000 5.3956 In
1.4080 0.0000 5.4732 Hg
8.9897 0.0000 2.2566 Hg
```

Energy of formation from the pure elements ... 0.01 eV per atom
DFT total energy ... -2.164 eV per atom


No. 3
## MoP2AuCl (PBE-GGA)

Data for a geometry-optimized MoP2AuCl structure.

The structure in POSCAR format:
```
MoP2AuCl
1.0
4.7199 0.0000 0.0000
0.0000 4.7199 0.0000
0.0000 0.0000 4.7573
Mo P Au Cl
1 2 1 1
Cartesian
0.0000 0.0000 0.0000 Mo
0.0000 2.3599 0.0000 P
2.3599 0.0000 0.0000 P
2.3599 2.3599 2.3786 Au
0.0000 0.0000 2.3786 Cl
```

DFT total energy ... -4.881 eV per atom
Raw formation energy ... 0.474 eV/atom


No. 4
## PmPaTe2 (PBE-GGA)

Data for a geometry-optimized PmPaTe2 structure.

The structure in POSCAR format:
```
PmPaTe2
1.0
8.5043 0.0000 0.0000
0.0000 4.0073 0.0000
0.0000 0.0000 7.0436
Pm Pa Te
2 2 4
Cartesian
0.0000 0.0000 0.0000 Pm
4.2522 0.0000 0.0000 Pm
0.0000 2.0036 3.5218 Pa
4.2522 2.0036 3.5218 Pa
2.1261 0.0000 2.3814 Te
2.1261 2.0036 5.8117 Te
6.3782 0.0000 4.6622 Te
6.3782 2.0036 1.2319 Te
```

DFT total energy ... -6.083 eV per atom
Raw formation energy ... -0.951 eV/atom


No. 5
## Y6InHg2 (PBE-GGA)

Data for a geometry-optimized Y6InHg2 structure.

The structure in POSCAR format:
```
Y6InHg2
1.0
-4.9772 5.0324 5.2549
4.9772 -5.0324 5.2549
4.9772 5.0324 -5.2549
Y In Hg
12 2 4
Cartesian
4.9772 -2.8521 3.3973 Y
2.9937 0.0000 2.5824 Y
6.9608 0.0000 2.5824 Y
3.1826 2.7520 0.0000 Y
6.7718 2.7520 0.0000 Y
0.0000 2.1803 1.8576 Y
4.9772 2.8521 3.3973 Y
-1.7946 2.2804 5.2549 Y
1.7946 2.2804 5.2549 Y
-1.9835 5.0324 2.6725 Y
1.9835 5.0324 2.6725 Y
0.0000 7.8845 1.8576 Y
4.9772 0.0000 0.0000 In
0.0000 5.0324 0.0000 In
1.5148 0.0000 0.0000 Hg
8.4396 0.0000 0.0000 Hg
0.0000 0.0000 3.8249 Hg
0.0000 0.0000 6.6848 Hg
```

Energy of formation from the pure elements ... -0.32 eV per atom
DFT total energy ... -5.006 eV per atom


No. 6
## ScCd3Au (PBE-GGA)

Data for a geometry-optimized ScCd3Au structure.

The structure in POSCAR format:
```
ScCd3Au
1.0
5.6109 0.0000 0.0000
0.0000 5.6109 0.0000
0.0000 0.0000 5.6109
Sc Cd Au
1 3 1
Cartesian
0.0000 0.0000 0.0000 Sc
0.0000 0.0000 2.8054 Cd
0.0000 2.8054 0.0000 Cd
2.8054 0.0000 0.0000 Cd
2.8054 2.8054 2.8054 Au
```

Energy of formation from the pure elements ... 0.80 eV per atom
DFT total energy ... -1.675 eV per atom